[1]
! Er2Cd2Hg7, optimized geometry, DFT GGA-PBE; values from VASP
&SYSTEM
  ibrav = 0, nat = 11, ntyp = 3
/
ATOMIC_SPECIES
Hg 200.59 Hg.upf
Cd 112.41 Cd.upf
Er 167.26 Er.upf
CELL_PARAMETERS angstrom
-4.997 0.680 1.906
-1.488 3.756 9.351
-0.842 7.245 2.504
ATOMIC_POSITIONS angstrom
Hg -3.262 8.543 5.823
Hg 0.000 0.000 0.000
Hg -4.065 3.137 7.939
Hg -5.216 5.836 6.737
Cd -2.723 9.682 8.614
Er -4.019 5.859 9.591
Cd -4.604 1.998 5.148
Hg -5.957 7.571 11.470
Hg -2.111 5.844 7.025
Er -3.308 5.821 4.171
Hg -1.370 4.108 2.292
! excess energy over the best structure of this formula in the dataset: 0 meV per atom
! space-group type: C2/m, No. 12



[2]
! ErCd3Hg, optimized geometry, DFT GGA-PBE; values from VASP
&SYSTEM
  ibrav = 0, nat = 10, ntyp = 3
/
ATOMIC_SPECIES
Cd 112.41 Cd.upf
Er 167.26 Er.upf
Hg 200.59 Hg.upf
CELL_PARAMETERS angstrom
4.827 0.000 0.000
0.000 7.101 0.000
0.000 0.000 6.949
ATOMIC_POSITIONS angstrom
Cd 2.414 5.691 5.270
Cd 0.000 7.101 6.633
Er 0.000 3.550 5.112
Cd 2.414 3.551 0.316
Cd 0.000 4.961 1.679
Er 2.414 0.000 1.838
Cd 2.414 1.410 5.270
Hg 2.414 3.550 3.178
Cd 0.000 2.140 1.679
Hg 0.000 0.000 3.772
! excess energy over the best structure of this formula in the dataset: 10 meV per atom
! space-group type: Pmmn, No. 59



[3]
! ErCd2Hg2, optimized geometry, DFT GGA-PBE; values from VASP
&SYSTEM
  ibrav = 0, nat = 5, ntyp = 3
/
ATOMIC_SPECIES
Er 167.26 Er.upf
Hg 200.59 Hg.upf
Cd 112.41 Cd.upf
CELL_PARAMETERS angstrom
4.884 0.002 0.001
2.441 4.230 0.001
2.440 1.410 5.718
ATOMIC_POSITIONS angstrom
Er 1.220 2.115 0.001
Hg 6.102 4.935 4.490
Cd 6.104 2.116 3.470
Cd 3.661 3.525 2.250
Hg 3.662 0.706 1.230
! space-group type: R-3m, No. 166



[4]
! ErCdHg, optimized geometry, DFT GGA-PBE; values from VASP
&SYSTEM
  ibrav = 0, nat = 6, ntyp = 3
/
ATOMIC_SPECIES
Cd 112.41 Cd.upf
Er 167.26 Er.upf
Hg 200.59 Hg.upf
CELL_PARAMETERS angstrom
3.578 -0.001 -0.223
0.001 3.585 -0.007
0.722 0.016 11.609
ATOMIC_POSITIONS angstrom
Cd 3.726 1.055 9.490
Er 3.231 1.044 1.562
Hg 3.499 1.053 5.869
Cd 1.824 2.848 7.781
Hg 2.047 2.850 11.402
Er 1.593 2.842 4.099
! space-group type: P4/nmm, No. 129



[5]
! ErCd2Hg5, optimized geometry, DFT GGA-PBE; values from VASP
&SYSTEM
  ibrav = 0, nat = 8, ntyp = 3
/
ATOMIC_SPECIES
Er 167.26 Er.upf
Hg 200.59 Hg.upf
Cd 112.41 Cd.upf
CELL_PARAMETERS angstrom
5.998 -0.071 -2.005
-3.123 5.121 -2.006
0.037 0.067 6.326
ATOMIC_POSITIONS angstrom
Er 2.276 3.998 3.203
Hg 3.833 1.436 4.209
Cd 3.816 1.402 1.046
Hg -0.760 3.961 -2.117
Hg 0.799 1.399 -1.112
Hg 2.253 3.961 0.040
Cd -0.745 3.998 1.045
Hg 0.817 1.439 2.051
! excess energy over the best structure of this formula in the dataset: 0 meV per atom
! space-group type: I4mm, No. 107



[6]
! ErCd2Hg6, optimized geometry, DFT GGA-PBE; values from VASP
&SYSTEM
  ibrav = 0, nat = 9, ntyp = 3
/
ATOMIC_SPECIES
Hg 200.59 Hg.upf
Cd 112.41 Cd.upf
Er 167.26 Er.upf
CELL_PARAMETERS angstrom
5.136 0.000 0.000
-2.568 4.448 0.006
0.000 -0.017 9.602
ATOMIC_POSITIONS angstrom
Hg 2.568 1.466 9.316
Hg 0.000 2.965 0.292
Cd 2.568 1.477 2.987
Cd 0.000 2.954 6.621
Hg 2.568 4.445 1.654
Hg 0.000 -0.014 7.954
Hg 2.568 1.472 6.082
Hg 0.000 2.959 3.526
Er 0.000 -0.008 4.801
! excess energy over the best structure of this formula in the dataset: 3 meV per atom
! space-group type: P-3m1, No. 164



[7]
! ErCdHg, optimized geometry, DFT GGA-PBE; values from VASP
&SYSTEM
  ibrav = 0, nat = 3, ntyp = 3
/
ATOMIC_SPECIES
Er 167.26 Er.upf
Hg 200.59 Hg.upf
Cd 112.41 Cd.upf
CELL_PARAMETERS angstrom
3.413 0.000 0.000
0.000 4.931 0.000
0.000 -2.466 4.271
ATOMIC_POSITIONS angstrom
Er 2.275 2.466 1.424
Hg 0.569 0.000 2.847
Cd 0.569 0.000 0.000
! space-group type: P-6m2, No. 187



[8]
! Er3Cd2Hg, optimized geometry, DFT GGA-PBE; values from VASP
&SYSTEM
  ibrav = 0, nat = 6, ntyp = 3
/
ATOMIC_SPECIES
Cd 112.41 Cd.upf
Hg 200.59 Hg.upf
Er 167.26 Er.upf
CELL_PARAMETERS angstrom
-2.896 -4.332 0.430
5.172 -0.230 0.731
-0.834 1.180 6.269
ATOMIC_POSITIONS angstrom
Cd -0.495 -2.557 2.698
Cd 1.937 -0.826 4.732
Hg 0.000 0.000 0.000
Er -0.417 0.590 3.134
Er 2.349 -1.408 1.637
Er -0.907 -1.974 5.793
! space-group type: P-3m1, No. 164



Number 1: energy relative to the elements -1.788 eV per formula unit, total DFT energy (no corrections) -14.86 eV per cell, total magnetization 0.0 μB per formula unit. Number 2: energy relative to the elements -0.752 eV per formula unit, total DFT energy (no corrections) -16.72 eV per cell, total magnetization 0.0 μB per formula unit. Number 3: energy relative to the elements -1.210 eV per formula unit, total DFT energy (no corrections) -8.21 eV per cell, total magnetization 0.0 μB per formula unit. Number 4: energy relative to the elements -0.567 eV per formula unit, total DFT energy (no corrections) -12.69 eV per cell, total magnetization 0.0 μB per formula unit. Number 5: energy relative to the elements -0.909 eV per formula unit, total DFT energy (no corrections) -8.81 eV per cell, total magnetization 0.0 μB per formula unit. Number 6: energy relative to the elements -1.075 eV per formula unit, total DFT energy (no corrections) -9.28 eV per cell, total magnetization 0.0 μB per formula unit. Number 7: energy relative to the elements -1.041 eV per formula unit, total DFT energy (no corrections) -6.82 eV per cell, total magnetization 0.0 μB per formula unit. Number 8: energy relative to the elements -2.227 eV per formula unit, total DFT energy (no corrections) -18.05 eV per cell, total magnetization 0.0 μB per formula unit.